DFT (PBE) results for a relaxed LuFeAgB crystal.

Values from the calculation:
* E: -5.144 eV per atom
* distance to the lowest polymorph of the same formula: 0.000 eV per atom

a b c (Å): 4.4340 4.4340 4.4340
angles (deg): 60.00 60.00 60.00
Fractional positions:
Lu  0.2500  0.2500  0.2500
B  0.0000  0.0000  0.0000
Fe  0.7500  0.7500  0.7500
Ag  0.5000  0.5000  0.5000

=====

DFT (PBE) results for a relaxed MgFeAgB crystal.

Values from the calculation:
* E: -4.183 eV per atom
* distance to the lowest polymorph of the same formula: 0.000 eV per atom

a b c (Å): 4.2387 4.2387 4.2387
angles (deg): 60.00 60.00 60.00
Fractional positions:
Mg  0.2500  0.2500  0.2500
Fe  0.7500  0.7500  0.7500
B  0.0000  0.0000  0.0000
Ag  0.5000  0.5000  0.5000